! CeYOs2 | the Alexandria database | PBE-GGA | optimized geometry; values from VASP
&SYSTEM
  ibrav = 0, nat = 4, ntyp = 3
/
ATOMIC_SPECIES
Ce 140.12 Ce.upf
Y 88.91 Y.upf
Os 190.23 Os.upf
CELL_PARAMETERS angstrom
0.000 3.444 3.444
3.444 0.000 3.444
3.444 3.444 0.000
ATOMIC_POSITIONS crystal
Ce 0.000 0.000 0.000
Y 0.500 0.500 0.500
Os 0.250 0.250 0.250
Os 0.750 0.750 0.750
! Energy relative to the elements in eV per atom: -0.09
! Crystal system: cubic